(1)
{
  "formula": "TbPr2Nd",
  "functional": "PBE-GGA",
  "state": "relaxed",
  "cell": [[3.673, 0.000, 0.000], [1.836, 3.181, 0.000], [1.836, 1.060, 11.942]],
  "species": ["Nd", "Tb", "Pr", "Pr"],
  "frac_coords": [[0.500, 0.500, 0.500], [0.000, 0.000, 0.000], [0.251, 0.251, 0.246], [0.749, 0.749, 0.754]],
  "dft_energy_ev_per_atom": -4.7270,
  "e_form_ev_per_atom": 0.01,
  "space_group": "No. 166"
}

=====

(2)
{
  "formula": "TlAsIBr2",
  "functional": "PBE-GGA",
  "state": "relaxed",
  "cell": [[-2.189, 4.996, 0.016], [-0.397, -0.191, 5.437], [5.306, 2.324, 0.469]],
  "species": ["Tl", "I", "As", "Br", "Br"],
  "frac_coords": [[0.500, 0.500, 0.500], [0.000, 0.000, 0.500], [0.000, 0.000, 0.000], [0.500, 0.000, 0.000], [0.000, 0.500, 0.000]],
  "dft_energy_ev_per_atom": -2.7555,
  "space_group": "No. 123",
  "formation_energy_uncorrected_mev_per_atom": -373
}

=====

(3)
{
  "formula": "PmNd6DyY2",
  "functional": "PBE-GGA",
  "state": "relaxed",
  "cell": [[-8.790, 2.268, 3.186], [0.831, -6.918, 5.685], [3.535, 7.836, 2.640]],
  "species": ["Nd", "Nd", "Nd", "Y", "Nd", "Nd", "Nd", "Dy", "Nd", "Nd", "Y", "Dy", "Y", "Nd", "Pm", "Nd", "Nd", "Pm", "Nd", "Y"],
  "frac_coords": [[0.558, 0.762, 0.113], [0.186, 0.560, 0.006], [0.942, 0.887, 0.238], [0.450, 0.797, 0.702], [0.616, 0.480, 0.706], [0.314, 0.994, 0.440], [0.686, 0.006, 0.560], [0.250, 0.411, 0.589], [0.884, 0.294, 0.520], [0.442, 0.238, 0.887], [0.550, 0.203, 0.298], [0.750, 0.589, 0.411], [0.950, 0.702, 0.797], [0.116, 0.706, 0.480], [0.250, 0.967, 0.033], [0.058, 0.113, 0.762], [0.384, 0.520, 0.294], [0.750, 0.033, 0.967], [0.814, 0.440, 0.994], [0.050, 0.298, 0.203]],
  "dft_energy_ev_per_atom": -4.9727,
  "e_form_ev_per_atom": 0.12,
  "space_group": "No. 15"
}

=====

(4)
{
  "formula": "La2NdTmBi4",
  "functional": "PBE-GGA",
  "state": "relaxed",
  "cell": [[4.623, 0.000, 0.000], [0.000, 7.997, 0.136], [0.000, -2.797, 7.475]],
  "species": ["Nd", "Bi", "Bi", "La", "La", "Tm", "Bi", "Bi"],
  "frac_coords": [[0.500, 0.500, 0.000], [0.000, 0.248, 0.758], [0.500, 0.759, 0.762], [0.500, 0.000, 0.500], [0.000, 0.500, 0.500], [0.000, 0.000, 0.000], [0.000, 0.752, 0.242], [0.500, 0.241, 0.238]],
  "dft_energy_ev_per_atom": -5.2812,
  "e_form_ev_per_atom": -0.95,
  "space_group": "No. 10"
}

=====

(5)
{
  "formula": "AsN",
  "functional": "PBE-GGA",
  "state": "relaxed",
  "cell": [[-2.173, -0.518, -1.883], [-2.658, -1.313, 3.429], [-4.649, 13.626, 1.616]],
  "species": ["As", "As", "N", "As", "As", "N", "N", "N", "N", "As", "As", "N"],
  "frac_coords": [[0.000, 0.886, 0.834], [0.500, 0.114, 0.666], [0.000, 0.548, 0.000], [0.500, 0.311, 0.000], [0.500, 0.114, 0.334], [0.500, 0.452, 0.500], [0.500, 0.109, 0.887], [0.000, 0.891, 0.387], [0.000, 0.891, 0.613], [0.000, 0.689, 0.500], [0.000, 0.886, 0.166], [0.500, 0.109, 0.113]],
  "dft_energy_ev_per_atom": -5.8129,
  "space_group": "No. 59",
  "formation_energy_uncorrected_mev_per_atom": 675
}

=====

(6)
{
  "formula": "Sc3IF",
  "functional": "PBE-GGA",
  "state": "relaxed",
  "cell": [[-3.713, -1.060, 2.611], [-0.984, -3.559, -2.844], [2.640, -2.817, 2.612]],
  "species": ["Sc", "Sc", "F", "Sc", "I"],
  "frac_coords": [[0.500, 0.000, 0.000], [0.000, 0.000, 0.500], [0.000, 0.000, 0.000], [0.000, 0.500, 0.000], [0.500, 0.500, 0.500]],
  "dft_energy_ev_per_atom": -5.1334,
  "space_group": "No. 221",
  "formation_energy_uncorrected_mev_per_atom": -650
}

=====

(7)
{
  "formula": "BeCoNi6",
  "functional": "PBE-GGA",
  "state": "relaxed",
  "cell": [[-1.657, -5.193, 2.559], [3.448, -1.119, -4.809], [8.017, 0.247, 5.690]],
  "species": ["Ni", "Ni", "Be", "Ni", "Ni", "Ni", "Ni", "Ni", "Ni", "Co", "Ni", "Co", "Ni", "Co", "Be", "Co", "Ni", "Ni", "Ni", "Ni", "Ni", "Ni", "Ni", "Ni", "Ni", "Ni", "Be", "Be", "Ni", "Ni", "Ni", "Ni"],
  "frac_coords": [[0.751, 0.249, 0.003], [0.249, 0.751, 0.003], [0.000, 0.000, 0.495], [0.629, 0.877, 0.623], [0.878, 0.627, 0.373], [0.627, 0.878, 0.373], [0.249, 0.751, 0.497], [0.627, 0.878, 0.127], [0.877, 0.629, 0.623], [0.500, 0.500, 0.497], [0.371, 0.123, 0.623], [0.251, 0.749, 0.750], [0.000, 0.000, 0.750], [0.749, 0.251, 0.750], [0.747, 0.253, 0.250], [0.500, 0.500, 0.003], [0.751, 0.249, 0.497], [0.500, 0.500, 0.250], [0.122, 0.373, 0.127], [0.122, 0.373, 0.373], [0.123, 0.371, 0.623], [0.877, 0.629, 0.877], [0.123, 0.371, 0.877], [0.878, 0.627, 0.127], [0.500, 0.500, 0.750], [0.000, 0.000, 0.250], [0.253, 0.747, 0.250], [0.000, 0.000, 0.005], [0.373, 0.122, 0.373], [0.629, 0.877, 0.877], [0.371, 0.123, 0.877], [0.373, 0.122, 0.127]],
  "dft_energy_ev_per_atom": -5.7710,
  "e_form_ev_per_atom": -0.08,
  "space_group": "No. 65"
}

=====

(8)
{
  "formula": "CaSc2AlFe",
  "functional": "PBE-GGA",
  "state": "relaxed",
  "cell": [[-2.269, 3.777, -1.955], [-3.658, -0.604, 3.080], [2.163, 2.926, 3.143]],
  "species": ["Sc", "Sc", "Fe", "Ca", "Al"],
  "frac_coords": [[0.500, 0.000, 0.000], [0.000, 0.500, 0.000], [0.000, 0.000, 0.000], [0.500, 0.500, 0.500], [0.000, 0.000, 0.500]],
  "dft_energy_ev_per_atom": -5.4766,
  "e_form_ev_per_atom": -0.10,
  "space_group": "No. 123"
}

=====

(9)
{
  "formula": "ErIn3",
  "functional": "PBE-GGA",
  "state": "relaxed",
  "cell": [[4.491, 0.000, 0.000], [0.000, 4.491, 0.000], [-2.246, -2.246, 4.984]],
  "species": ["In", "In", "In", "Er"],
  "frac_coords": [[0.500, 0.500, 0.000], [0.250, 0.750, 0.500], [0.750, 0.250, 0.500], [0.000, 0.000, 0.000]],
  "dft_energy_ev_per_atom": -3.5104,
  "e_form_ev_per_atom": -0.32,
  "space_group": "No. 139"
}

=====

(10)
{
  "formula": "CoHgIrRu2",
  "functional": "PBE-GGA",
  "state": "relaxed",
  "cell": [[-4.421, -1.498, 0.274], [0.343, -1.877, -4.742], [1.491, -4.083, 1.724]],
  "species": ["Ir", "Co", "Hg", "Ru", "Ru"],
  "frac_coords": [[0.000, 0.000, 0.000], [0.500, 0.500, 0.500], [0.000, 0.500, 0.000], [0.000, 0.000, 0.500], [0.500, 0.000, 0.000]],
  "dft_energy_ev_per_atom": -5.1246,
  "e_form_ev_per_atom": 1.84,
  "space_group": "No. 123"
}

=====

(11)
{
  "formula": "Ga2HgH",
  "functional": "PBE-GGA",
  "state": "relaxed",
  "cell": [[3.077, 0.000, 0.000], [1.538, 2.665, 0.000], [1.538, 0.888, 8.718]],
  "species": ["Hg", "Ga", "H", "Ga"],
  "frac_coords": [[0.000, 0.000, 0.000], [0.887, 0.887, 0.340], [0.500, 0.500, 0.500], [0.113, 0.113, 0.660]],
  "dft_energy_ev_per_atom": -2.1643,
  "space_group": "No. 166"
}

=====

(12)
{
  "formula": "ScPd4Pt",
  "functional": "PBE-GGA",
  "state": "relaxed",
  "cell": [[-3.239, -2.694, -1.820], [1.569, -4.074, 3.238], [-3.998, 4.004, 6.974]],
  "species": ["Pd", "Pd", "Pd", "Sc", "Pd", "Pd", "Pd", "Sc", "Pt", "Pd", "Pd", "Pt"],
  "frac_coords": [[0.871, 0.150, 0.742], [0.129, 0.650, 0.258], [0.429, 0.911, 0.858], [0.119, 0.151, 0.239], [0.571, 0.411, 0.142], [0.711, 0.159, 0.421], [0.289, 0.659, 0.579], [0.881, 0.651, 0.761], [0.425, 0.405, 0.850], [0.288, 0.157, 0.575], [0.712, 0.657, 0.425], [0.575, 0.905, 0.150]],
  "dft_energy_ev_per_atom": -5.8237,
  "e_form_ev_per_atom": -0.30,
  "space_group": "No. 36"
}